(1)
# RbSm

An optimized crystal structure of RbSm (PBE, OQMD).

Cell and atoms, written as CIF:
```
data_RbSm
_chemical_formula_sum 'Rb1 Sm1'
_cell_length_a 5.100
_cell_length_b 5.100
_cell_length_c 5.100
_cell_angle_alpha 60.00
_cell_angle_beta 60.00
_cell_angle_gamma 60.00
_space_group_name_H-M_alt 'P 1'
_space_group_IT_number 1
loop_
_space_group_symop_operation_xyz
'x,y,z'
loop_
_atom_site_label
_atom_site_type_symbol
_atom_site_fract_x
_atom_site_fract_y
_atom_site_fract_z
Sm1 Sm 0.500 0.500 0.500
Rb1 Rb 0.000 0.000 0.000
```

## Properties
Symmetry   Fm-3m (225)
Energy   -1.58 eV per atom

---

(2)
# AcZr

An optimized crystal structure of AcZr (PBE, OQMD).

Cell and atoms, written as CIF:
```
data_AcZr
_chemical_formula_sum 'Ac4 Zr4'
_cell_length_a 13.151
_cell_length_b 3.575
_cell_length_c 5.560
_cell_angle_alpha 90.00
_cell_angle_beta 90.00
_cell_angle_gamma 90.00
_space_group_name_H-M_alt 'P 1'
_space_group_IT_number 1
loop_
_space_group_symop_operation_xyz
'x,y,z'
loop_
_atom_site_label
_atom_site_type_symbol
_atom_site_fract_x
_atom_site_fract_y
_atom_site_fract_z
Zr1 Zr 0.983 0.000 0.000
Zr2 Zr 0.793 0.500 0.000
Zr3 Zr 0.124 0.000 0.500
Zr4 Zr 0.933 0.500 0.500
Ac1 Ac 0.212 0.500 0.000
Ac2 Ac 0.527 0.000 0.000
Ac3 Ac 0.390 0.500 0.500
Ac4 Ac 0.705 0.000 0.500
```

## Properties
E_form   0.232 eV/atom
Symmetry   Pmmn (59)
Energy relative to the lowest polymorph listed for this composition   0.0924 eV per atom
Energy   -6.09 eV per atom

---

(3)
# SiHgAsO

An optimized crystal structure of SiHgAsO (PBE, OQMD).

Cell and atoms, written as CIF:
```
data_SiHgAsO
_chemical_formula_sum 'Si2 Hg2 As2 O2'
_cell_length_a 4.399
_cell_length_b 4.399
_cell_length_c 8.575
_cell_angle_alpha 90.00
_cell_angle_beta 90.00
_cell_angle_gamma 90.00
_space_group_name_H-M_alt 'P 1'
_space_group_IT_number 1
loop_
_space_group_symop_operation_xyz
'x,y,z'
loop_
_atom_site_label
_atom_site_type_symbol
_atom_site_fract_x
_atom_site_fract_y
_atom_site_fract_z
O1 O 0.750 0.250 0.000
O2 O 0.250 0.750 0.000
Si1 Si 0.250 0.750 0.500
Si2 Si 0.750 0.250 0.500
Hg1 Hg 0.250 0.250 0.070
Hg2 Hg 0.750 0.750 0.930
As1 As 0.750 0.750 0.354
As2 As 0.250 0.250 0.646
```

## Properties
Symmetry   P4/nmm (129)
Energy relative to the lowest polymorph listed for this composition   1.0486 eV per atom
Energy   -3.67 eV per atom

---

(4)
# Zr3Hg2B2

An optimized crystal structure of Zr3Hg2B2 (PBE, OQMD).

Cell and atoms, written as CIF:
```
data_Zr3Hg2B2
_chemical_formula_sum 'Zr3 Hg2 B2'
_cell_length_a 12.332
_cell_length_b 12.332
_cell_length_c 12.332
_cell_angle_alpha 16.75
_cell_angle_beta 16.75
_cell_angle_gamma 16.75
_space_group_name_H-M_alt 'P 1'
_space_group_IT_number 1
loop_
_space_group_symop_operation_xyz
'x,y,z'
loop_
_atom_site_label
_atom_site_type_symbol
_atom_site_fract_x
_atom_site_fract_y
_atom_site_fract_z
Zr1 Zr 0.630 0.630 0.630
Zr2 Zr 0.366 0.366 0.366
Zr3 Zr 0.843 0.843 0.843
Hg1 Hg 0.762 0.762 0.762
Hg2 Hg 0.238 0.238 0.238
B1 B 0.538 0.538 0.538
B2 B 0.999 0.999 0.999
```

## Properties
Symmetry   R3m (160)
Energy   -5.72 eV per atom

---

(5)
# Rb2Pr

An optimized crystal structure of Rb2Pr (PBE, OQMD).

Cell and atoms, written as CIF:
```
data_Rb2Pr
_chemical_formula_sum 'Rb4 Pr2'
_cell_length_a 7.837
_cell_length_b 7.837
_cell_length_c 7.837
_cell_angle_alpha 60.00
_cell_angle_beta 60.00
_cell_angle_gamma 60.00
_space_group_name_H-M_alt 'P 1'
_space_group_IT_number 1
loop_
_space_group_symop_operation_xyz
'x,y,z'
loop_
_atom_site_label
_atom_site_type_symbol
_atom_site_fract_x
_atom_site_fract_y
_atom_site_fract_z
Rb1 Rb 0.125 0.625 0.625
Rb2 Rb 0.625 0.625 0.125
Rb3 Rb 0.625 0.125 0.625
Rb4 Rb 0.625 0.625 0.625
Pr1 Pr 0.250 0.250 0.250
Pr2 Pr 0.000 0.000 0.000
```

## Properties
Symmetry   Fd-3m (227)
Energy   -1.54 eV per atom

---

(6)
# Dy2TmMg3Al2Cd

An optimized crystal structure of Dy2TmMg3Al2Cd (PBE, OQMD).

Cell and atoms, written as CIF:
```
data_Dy2TmMg3Al2Cd
_chemical_formula_sum 'Dy2 Tm1 Mg3 Al2 Cd1'
_cell_length_a 4.526
_cell_length_b 7.384
_cell_length_c 7.384
_cell_angle_alpha 119.69
_cell_angle_beta 90.00
_cell_angle_gamma 90.00
_space_group_name_H-M_alt 'P 1'
_space_group_IT_number 1
loop_
_space_group_symop_operation_xyz
'x,y,z'
loop_
_atom_site_label
_atom_site_type_symbol
_atom_site_fract_x
_atom_site_fract_y
_atom_site_fract_z
Al1 Al 0.500 0.667 0.335
Al2 Al 0.500 0.335 0.667
Mg1 Mg 0.500 0.246 0.246
Mg2 Mg 0.500 0.000 0.754
Mg3 Mg 0.500 0.754 0.000
Tm1 Tm 0.000 0.570 0.570
Dy1 Dy 0.000 0.001 0.431
Dy2 Dy 0.000 0.431 0.001
Cd1 Cd 0.000 0.997 0.997
```

## Properties
Symmetry   Amm2 (38)
Energy   -3.27 eV per atom

---

(7)
# TlIr15

An optimized crystal structure of TlIr15 (PBE, OQMD).

Cell and atoms, written as CIF:
```
data_TlIr15
_chemical_formula_sum 'Tl2 Ir30'
_cell_length_a 3.865
_cell_length_b 3.865
_cell_length_c 44.523
_cell_angle_alpha 90.00
_cell_angle_beta 90.00
_cell_angle_gamma 90.00
_space_group_name_H-M_alt 'P 1'
_space_group_IT_number 1
loop_
_space_group_symop_operation_xyz
'x,y,z'
loop_
_atom_site_label
_atom_site_type_symbol
_atom_site_fract_x
_atom_site_fract_y
_atom_site_fract_z
Ir1 Ir 0.750 0.000 0.304
Ir2 Ir 0.250 0.000 0.609
Ir3 Ir 0.750 0.000 0.652
Ir4 Ir 0.750 0.000 0.740
Ir5 Ir 0.250 0.000 0.696
Ir6 Ir 0.750 0.500 0.696
Ir7 Ir 0.250 0.000 0.348
Ir8 Ir 0.250 0.500 0.824
Ir9 Ir 0.750 0.500 0.783
Ir10 Ir 0.250 0.000 0.783
Ir11 Ir 0.750 0.500 0.260
Ir12 Ir 0.250 0.500 0.565
Ir13 Ir 0.750 0.000 0.391
Ir14 Ir 0.250 0.500 0.391
Ir15 Ir 0.250 0.500 0.478
Ir16 Ir 0.750 0.000 0.217
Ir17 Ir 0.750 0.500 0.176
Ir18 Ir 0.250 0.500 0.304
Ir19 Ir 0.750 0.500 0.609
Ir20 Ir 0.250 0.000 0.260
Ir21 Ir 0.250 0.500 0.740
Ir22 Ir 0.750 0.500 0.435
Ir23 Ir 0.750 0.000 0.565
Ir24 Ir 0.250 0.500 0.217
Ir25 Ir 0.250 0.500 0.652
Ir26 Ir 0.750 0.000 0.478
Ir27 Ir 0.750 0.500 0.348
Ir28 Ir 0.750 0.500 0.522
Ir29 Ir 0.250 0.000 0.435
Ir30 Ir 0.250 0.000 0.522
Tl1 Tl 0.250 0.000 0.156
Tl2 Tl 0.750 0.000 0.844
```

## Properties
Symmetry   Pmma (51)
Energy relative to the lowest polymorph listed for this composition   0.0000 eV per atom
Energy   -8.35 eV per atom

---

(8)
# CsBeSiAu

An optimized crystal structure of CsBeSiAu (PBE, OQMD).

Cell and atoms, written as CIF:
```
data_CsBeSiAu
_chemical_formula_sum 'Cs1 Be1 Si1 Au1'
_cell_length_a 5.017
_cell_length_b 5.017
_cell_length_c 5.017
_cell_angle_alpha 60.00
_cell_angle_beta 60.00
_cell_angle_gamma 60.00
_space_group_name_H-M_alt 'P 1'
_space_group_IT_number 1
loop_
_space_group_symop_operation_xyz
'x,y,z'
loop_
_atom_site_label
_atom_site_type_symbol
_atom_site_fract_x
_atom_site_fract_y
_atom_site_fract_z
Au1 Au 0.750 0.750 0.750
Be1 Be 0.500 0.500 0.500
Cs1 Cs 0.250 0.250 0.250
Si1 Si 0.000 0.000 0.000
```

## Properties
Symmetry   F-43m (216)
Energy relative to the lowest polymorph listed for this composition   0.0000 eV per atom
Energy   -2.28 eV per atom